{"formula": "Sr2NiRh", "functional": "GGA-PBEsol", "state": "optimized geometry", "lattice_angstrom": [[3.252, 0.000, 0.000], [0.000, 4.998, 0.000], [0.000, 0.000, 5.799]], "species": ["Sr", "Sr", "Ni", "Rh"], "frac_coords": [[0.000, 0.000, 0.000], [0.500, 0.500, 0.479], [0.000, 0.000, 0.506], [0.500, 0.500, 0.975]], "e_form_ev_per_atom": 0.388, "m_tot_mub_per_atom": 0.00, "total_energy_ev_per_atom": -4.106, "sg": "No. 25"}